[1]
Entry from Alexandria: CaTc2Se after structural relaxation (PBE).

DOS(E_F) (states/eV per atom): 1.204
ΔE_f (raw) (eV per atom): 0.202

a b c (Å): 5.800 5.800 5.800
angles (deg): 149.42 133.61 56.59
Sites, in units of the cell vectors:
Tc 0.462 0.462 0.000
Tc 0.038 0.038 0.000
Se 0.250 0.750 0.500
Ca 0.750 0.250 0.500

=====

[2]
Entry from Alexandria: Rb2ZnSb2Pb after structural relaxation (PBE).

DOS(E_F) (states/eV per atom): 0.344
ΔE_f (raw) (eV per atom): -0.296

a b c (Å): 7.345 7.328 9.777
angles (deg): 112.01 112.06 90.00
Sites, in units of the cell vectors:
Sb 0.617 0.406 0.812
Sb 0.194 0.906 0.812
Sb 0.383 0.594 0.188
Sb 0.806 0.094 0.188
Pb 0.000 0.250 0.000
Pb 0.000 0.750 0.000
Rb 0.074 0.330 0.660
Rb 0.926 0.670 0.340
Rb 0.586 0.830 0.660
Rb 0.414 0.170 0.340
Zn 0.500 0.250 0.000
Zn 0.500 0.750 0.000

=====

[3]
Entry from Alexandria: Zn2CdCu2 after structural relaxation (PBE).

DOS(E_F) (states/eV per atom): 0.332
Formation enthalpy at 0 K (eV/f.u.): 0.60

a b c (Å): 3.561 3.561 6.863
angles (deg): 74.96 74.96 90.00
Sites, in units of the cell vectors:
Zn 0.393 0.393 0.214
Zn 0.607 0.607 0.786
Cu 0.750 0.250 0.500
Cu 0.250 0.750 0.500
Cd 0.000 0.000 0.000

=====

[4]
Entry from Alexandria: AcNpTeN2 after structural relaxation (PBE).

DOS(E_F) (states/eV per atom): 1.288
ΔE_f (raw) (eV per atom): -1.279

a b c (Å): 4.174 7.139 8.126
angles (deg): 106.29 90.00 90.00
Site moments in Bohr magnetons follow the coordinates.
Sites, in units of the cell vectors:
Te 0.250 0.053 0.726  -0.08
Te 0.750 0.947 0.274  -0.08
N 0.750 0.500 0.846  -0.11
N 0.750 0.516 0.402  -0.17
N 0.250 0.500 0.154  -0.11
N 0.250 0.484 0.598  -0.17
Np 0.750 0.356 0.592  2.37
Np 0.250 0.644 0.408  2.37
Ac 0.750 0.304 0.072  -0.01
Ac 0.250 0.696 0.928  -0.01

=====

[5]
Entry from Alexandria: Ba2AsSe after structural relaxation (PBE).

DOS(E_F) (states/eV per atom): 1.170
ΔE_f (raw) (eV per atom): -1.381

a b c (Å): 6.692 4.745 4.745
angles (deg): 89.99 90.00 90.00
Sites, in units of the cell vectors:
Ba 0.000 0.875 0.875
Ba 0.500 0.375 0.375
As 0.500 0.875 0.875
Se 0.000 0.375 0.375

=====

[6]
Entry from Alexandria: GaCoSb after structural relaxation (PBE).

DOS(E_F) (states/eV per atom): 0.544
ΔE_f (raw) (eV per atom): -0.166

a b c (Å): 4.206 4.206 4.206
angles (deg): 60.00 60.00 60.00
Sites, in units of the cell vectors:
Ga 0.500 0.500 0.500
Co 0.250 0.250 0.250
Sb 0.000 0.000 0.000

=====

[7]
Entry from Alexandria: CsMoP2S after structural relaxation (PBE).

DOS(E_F) (states/eV per atom): 2.172
ΔE_f (raw) (eV per atom): 2.723

a b c (Å): 5.295 5.295 5.059
angles (deg): 90.00 90.00 90.00
Site moments in Bohr magnetons follow the coordinates.
Sites, in units of the cell vectors:
Mo 0.500 0.500 0.500  -0.10
P 0.000 0.500 0.000  0.03
P 0.500 0.000 0.000  0.03
Cs 0.000 0.000 0.000  0.01
S 0.000 0.000 0.500  0.00

=====

[8]
Entry from Alexandria: U3Tl4SnTe8 after structural relaxation (PBE).

DOS(E_F) (states/eV per atom): 1.089
ΔE_f (raw) (eV per atom): -0.491

a b c (Å): 9.005 9.683 9.006
angles (deg): 117.73 120.00 90.00
Site moments in Bohr magnetons follow the coordinates.
Sites, in units of the cell vectors:
Sn 0.000 0.500 0.000  0.00
Te 0.758 0.285 0.027  -0.05
Te 0.731 0.715 0.973  -0.05
Te 0.261 0.285 0.523  -0.06
Te 0.269 0.285 0.027  -0.05
Te 0.242 0.715 0.973  -0.05
Te 0.739 0.715 0.477  -0.06
Te 0.758 0.285 0.516  -0.05
Te 0.242 0.715 0.484  -0.05
U 0.500 0.500 0.500  2.61
U 0.500 0.500 0.000  2.61
U 0.000 0.500 0.500  2.61
Tl 0.500 0.000 0.500  -0.01
Tl 0.000 0.000 0.500  -0.01
Tl 0.500 0.000 0.000  -0.01
Tl 0.000 0.000 0.000  -0.01